No. 1
This record from Alexandria describes crystalline RbNbRu2 at its relaxed geometry. The functional is PBE.

## Properties
Energy of formation from the pure elements ... 1263.1 meV per atom
Calculated volume ... 73.74 Å³/cell
E ... -6.1341 eV/atom

Cell lengths 4.7070, 4.7070, 4.7070 Å; angles 60.00, 60.00, 60.00 degrees
Fractional coordinates of all 4 atoms:
Ru 0.7500 0.7500 0.7500
Ru 0.2500 0.2500 0.2500
Rb 0.0000 0.0000 0.0000
Nb 0.5000 0.5000 0.5000

***

No. 2
This record from Alexandria describes crystalline RbNbRu2 at its relaxed geometry. The functional is PBE.

## Properties
Energy of formation from the pure elements ... 1371.2 meV per atom
Calculated volume ... 226.03 Å³/cell
E ... -6.0260 eV/atom

Cell lengths 5.3322, 5.3322, 8.7984 Å; angles 72.36, 72.36, 90.00 degrees
Fractional coordinates of all 8 atoms:
Ru 0.9469 0.6250 0.2500
Ru 0.3750 0.1969 0.7500
Ru 0.8031 0.1250 0.2500
Ru 0.8750 0.0531 0.7500
Nb 0.7500 0.2500 0.5000
Nb 0.0000 0.0000 0.0000
Rb 0.5000 0.5000 0.0000
Rb 0.2500 0.7500 0.5000

***

No. 3
This record from Alexandria describes crystalline Rb2NbRu at its relaxed geometry. The functional is PBE.

## Properties
Energy of formation from the pure elements ... 1256.3 meV per atom
Calculated volume ... 411.80 Å³/cell
E ... -4.0639 eV/atom

Cell lengths 13.3608, 13.3608, 9.7251 Å; angles 46.61, 46.61, 90.00 degrees
Each line ends with the local moment (μB).
Fractional coordinates of all 8 atoms:
Rb 0.3750 0.2053 0.7500  0.01
Rb 0.9553 0.6250 0.2500  0.01
Rb 0.7947 0.1250 0.2500  0.01
Rb 0.8750 0.0447 0.7500  0.01
Ru 0.7500 0.2500 0.5000  -0.29
Ru 0.0000 0.0000 0.0000  -0.29
Nb 0.2500 0.7500 0.5000  0.89
Nb 0.5000 0.5000 0.0000  0.89

***

- calculated volume of number 2 (RbNbRu2)?
  226.03 Å³/cell